First-principles (GGA-PBE) data for a relaxed structure of NdGe2IrRu, as listed in the Alexandria database.

Cell: 5.9450 5.9450 5.9450 Å, 138.08 138.08 60.78°
With the nearest neighbours (Å) after each atom.
Fractional coordinates of all 5 atoms:
Nd  0.0000  0.0000  0.0000  8 Ge 3.28, 4 Ru 3.33, 4 Ir 3.33
Ge  0.3720  0.3720  0.0000  2 Ru 2.47, 2 Ir 2.47, 1 Ge 2.62
Ge  0.6280  0.6280  0.0000  2 Ir 2.47, 2 Ru 2.47, 1 Ge 2.62
Ir  0.2500  0.7500  0.5000  4 Ge 2.47
Ru  0.7500  0.2500  0.5000  4 Ge 2.47

Values from the calculation:
ΔE_f ... -3.69 eV per formula unit
N(E_F) ... 2.54 states/eV per cell
SG ... I-4m2 (119)
Raw total energy ... -35.834 eV/cell